Ga2HBr2 after structural relaxation, computed with GGA-PBE.

The structure in CIF format:
```
data_Ga2HBr2
_chemical_formula_sum 'Ga8 H4 Br8'
_symmetry_space_group_name_H-M 'C 1 2/m 1'
_symmetry_Int_Tables_number 12
_symmetry_space_group_name_Hall '-C 2y'
_cell_length_a 21.3475
_cell_length_b 4.2085
_cell_length_c 6.3671
_cell_angle_alpha 90.00
_cell_angle_beta 94.92
_cell_angle_gamma 90.00
loop_
_atom_site_label
_atom_site_fract_x
_atom_site_fract_y
_atom_site_fract_z
Ga1 0.0527 0.0000 0.3626
Ga2 0.0822 0.5000 0.0303
H1 0.2329 0.0000 0.6917
Br1 0.1076 0.5000 0.6119
Br2 0.1648 0.0000 0.1321
```

VASP energy   -49.33 eV/cell
Excess energy over the best structure of this formula in the dataset   30.95 kJ/mol of atoms